Entry 1:
Crystalline MnSiP2 at its relaxed geometry. Source: the Alexandria database, functional PBE-GGA.

Results
crystal system = orthorhombic
SG = Cmmm (65)
ΔE_f (raw) = 0.273 eV per atom
M_tot = 0.59 μB per atom
DOS(E_F) = 5.0 states/eV/cell
theoretical density = 4.21 Mg/m³

abc: 3.3203 4.0434 8.5204
angles: 90.00 90.00 90.00
Atoms (fractional coordinates):
Mn (0.0000, 0.0000, 0.0000)
Mn (0.5000, 0.5000, 0.0000)
Si (0.0000, 0.0000, 0.5000)
Si (0.5000, 0.5000, 0.5000)
P (0.0000, 0.5000, 0.2003)
P (0.0000, 0.5000, 0.7997)
P (0.5000, 0.0000, 0.2003)
P (0.5000, 0.0000, 0.7997)

Entry 2:
Crystalline SbC2N at its relaxed geometry. Source: the Alexandria database, functional PBE-GGA.

Results
offset from the most stable computed form = 0.000 eV/atom
crystal system = tetragonal
SG = I-42d (122)
ΔE_f (raw) = 2.042 eV per atom
M_tot = 0.00 μB per atom
DOS(E_F) = 3.3 states/eV/cell
theoretical density = 6.29 Mg/m³

abc: 5.0869 5.0869 6.5179
angles: 90.00 90.00 90.00
Atoms (fractional coordinates):
Sb (0.0000, 0.0000, 0.0000)
Sb (0.0000, 0.5000, 0.2500)
Sb (0.5000, 0.0000, 0.7500)
Sb (0.5000, 0.5000, 0.5000)
C (0.1269, 0.7500, 0.6250)
C (0.2500, 0.1269, 0.3750)
C (0.2500, 0.3731, 0.8750)
C (0.3731, 0.7500, 0.1250)
C (0.6269, 0.2500, 0.1250)
C (0.7500, 0.6269, 0.8750)
C (0.7500, 0.8731, 0.3750)
C (0.8731, 0.2500, 0.6250)
N (0.0000, 0.0000, 0.5000)
N (0.0000, 0.5000, 0.7500)
N (0.5000, 0.0000, 0.2500)
N (0.5000, 0.5000, 0.0000)

Entry 3:
Crystalline TmCuIr at its relaxed geometry. Source: the Alexandria database, functional PBE-GGA.

Results
offset from the most stable computed form = 0.247 eV/atom
crystal system = tetragonal
SG = I4mm (107)
M_tot = 0.00 μB per atom
DOS(E_F) = 3.7 states/eV/cell
theoretical density = 13.55 Mg/m³
energy of formation = -0.375 eV/atom

abc: 3.3953 3.3953 9.0321
angles: 90.00 90.00 90.00
Atoms (fractional coordinates):
Tm (0.0000, 0.0000, 0.0000)
Tm (0.5000, 0.5000, 0.5000)
Cu (0.0000, 0.0000, 0.6873)
Cu (0.5000, 0.5000, 0.1873)
Ir (0.0000, 0.0000, 0.3245)
Ir (0.5000, 0.5000, 0.8245)

Entry 4:
Crystalline Tb5Sm3Ho at its relaxed geometry. Source: the Alexandria database, functional PBE-GGA.

Results
offset from the most stable computed form = 0.352 eV/atom
crystal system = monoclinic
SG = C2/m (12)
M_tot = 0.00 μB per atom
DOS(E_F) = 25.4 states/eV/cell
theoretical density = 7.08 Mg/m³
energy of formation = 0.516 eV/atom

abc: 9.5316 9.5316 9.9144
angles: 121.01 121.01 73.93
Atoms (fractional coordinates):
Tb (0.0944, 0.5973, 0.2532)
Tb (0.2224, 0.2224, 0.2289)
Tb (0.2440, 0.7560, 0.0000)
Tb (0.2762, 0.2762, 0.9588)
Tb (0.4027, 0.9056, 0.7468)
Tb (0.5973, 0.0944, 0.2532)
Tb (0.7238, 0.7238, 0.0412)
Tb (0.7560, 0.2440, 0.0000)
Tb (0.7776, 0.7776, 0.7711)
Tb (0.9056, 0.4027, 0.7468)
Sm (0.0000, 0.0000, 0.5000)
Sm (0.0077, 0.0077, 0.8137)
Sm (0.4810, 0.4810, 0.6422)
Sm (0.5000, 0.5000, 0.0000)
Sm (0.5190, 0.5190, 0.3578)
Sm (0.9923, 0.9923, 0.1863)
Ho (0.2513, 0.2513, 0.5983)
Ho (0.7487, 0.7487, 0.4017)

Look up the theoretical density of the third one.
13.55 Mg/m³